(1)
DFT (PBE) results for crystalline SbPSeO2 at its relaxed geometry.

The structure in POSCAR format:
```
SbPSeO2
1.0
-0.134 0.830 -3.860
1.513 -3.557 -0.817
-4.590 -1.895 -0.248
P O Se Sb
1 2 1 1
Direct
0.000 0.000 0.500
0.000 0.500 0.000
0.500 0.000 0.000
0.000 0.000 0.000
0.500 0.500 0.500
```

Properties
The value obtained for the formation energy (no corrections) is 0.03 eV per atom.

(2)
DFT (PBE) results for crystalline SiSbPO2 at its relaxed geometry.

The structure in POSCAR format:
```
SiSbPO2
1.0
-0.683 -3.369 -1.897
2.872 0.847 -2.540
3.452 -2.440 3.090
Sb O Si P
1 2 1 1
Direct
0.000 0.000 0.000
0.500 0.000 0.000
0.000 0.500 0.000
0.500 0.500 0.500
0.000 0.000 0.500
```

Properties
The value obtained for the formation energy (no corrections) is -0.17 eV per atom.

(3)
DFT (PBE) results for crystalline SiSbPO2 at its relaxed geometry.

The structure in POSCAR format:
```
SiSbPO2
1.0
3.699 0.000 0.000
0.000 3.699 0.000
0.000 0.000 4.719
O Sb Si P
2 1 1 1
Direct
0.500 0.000 0.000
0.000 0.500 0.000
0.500 0.500 0.500
0.000 0.000 0.000
0.000 0.000 0.500
```

Properties
The value obtained for the formation energy (no corrections) is -0.79 eV per atom.

(4)
DFT (PBE) results for crystalline SnSbP2O at its relaxed geometry.

The structure in POSCAR format:
```
SnSbP2O
1.0
-3.480 -3.655 0.877
2.568 -1.440 4.191
-2.118 2.538 2.170
Sb P Sn O
1 2 1 1
Direct
0.000 0.000 0.000
0.000 0.500 0.000
0.500 0.000 0.000
0.500 0.500 0.500
0.000 0.000 0.500
```

Properties
The value obtained for the formation energy (no corrections) is 0.21 eV per atom.

(5)
DFT (PBE) results for crystalline SnSbP2O at its relaxed geometry.

The structure in POSCAR format:
```
SnSbP2O
1.0
5.162 0.000 0.000
0.000 5.162 0.000
0.000 0.000 3.916
O Sb Sn P
1 1 1 2
Direct
0.000 0.000 0.500
0.500 0.500 0.500
0.000 0.000 0.000
0.500 0.000 0.000
0.000 0.500 0.000
```

Properties
The value obtained for the formation energy (no corrections) is 0.28 eV per atom.

(6)
DFT (PBE) results for crystalline SrSbP2O8 at its relaxed geometry.

The structure in POSCAR format:
```
SrSbP2O8
1.0
4.996 0.000 0.000
-2.498 4.327 0.000
0.000 0.000 7.702
O Sb P Sr
8 1 2 1
Direct
0.333 0.667 0.946
0.650 0.713 0.683
0.713 0.062 0.317
0.287 0.938 0.683
0.062 0.350 0.683
0.350 0.287 0.317
0.938 0.650 0.317
0.667 0.333 0.054
0.000 0.000 0.500
0.667 0.333 0.251
0.333 0.667 0.749
0.000 0.000 0.000
```

Properties
The value obtained for the formation energy (no corrections) is -2.16 eV per atom.

(7)
DFT (PBE) results for crystalline SrSbPO2 at its relaxed geometry.

The structure in POSCAR format:
```
SrSbPO2
1.0
4.199 0.000 0.000
0.000 4.199 0.000
0.000 0.000 5.094
O Sr Sb P
2 1 1 1
Direct
0.000 0.500 0.000
0.500 0.000 0.000
0.500 0.500 0.500
0.000 0.000 0.000
0.000 0.000 0.500
```

Properties
The value obtained for the formation energy (no corrections) is -1.05 eV per atom.

(8)
DFT (PBE) results for crystalline SrSbPO2 at its relaxed geometry.

The structure in POSCAR format:
```
SrSbPO2
1.0
-0.807 1.208 -4.154
3.947 -1.524 -1.210
-2.454 -5.470 -1.114
O Sb P Sr
2 1 1 1
Direct
0.000 0.500 0.000
0.500 0.000 0.000
0.500 0.500 0.500
0.000 0.000 0.500
0.000 0.000 0.000
```

Properties
The value obtained for the formation energy (no corrections) is 0.03 eV per atom.

| no. | VASP energy (eV/atom) | total magnetic moment (μB/atom) | DOS at the Fermi energy (states/eV/f.u.) |
| --- | --- | --- | --- |
| 1 | -4.554 | 0.0000 | 1.05 |
| 2 | -5.140 | 0.0000 | 1.48 |
| 3 | -5.768 | 0.0000 | 0.57 |
| 4 | -4.568 | 0.0000 | 2.56 |
| 5 | -4.505 | 0.0000 | 3.55 |
| 6 | -6.855 | 0.0732 | 3.38 |
| 7 | -5.277 | 0.0000 | 3.08 |
| 8 | -4.197 | 0.3956 | 3.44 |